Compound: K2Pa3FeO12
Source: the Alexandria database
Functional: GGA+U
Structure: relaxed

The structure belongs to space group R-3m (No. 166, hexagonal axes); the cell edges are 7.9777, 7.9777 and 18.2888 Å and the angles 90.00°, 90.00° and 120.00°. The inequivalent atoms are K at (0.0000, 0.0000, 0.1502), Pa at (0.0000, 0.5000, 0.0000), Fe at (0.0000, 0.0000, 0.5000), O at (0.0831, 0.5415, 0.3673) and O at (0.1098, 0.5549, 0.1096).

The density of states at the Fermi level comes out at 34.87 states/eV per cell. As for the magnetization: 15.1 Bohr magnetons per cell. The total energy is -7.7352 eV per atom.